# 1
First-principles (PBE) data for a relaxed GeOs2I crystal, as listed in Alexandria.

POSCAR file:
```
GeOs2I
1.0
6.4552 0.0000 0.0000
0.0000 6.4552 0.0000
0.0000 0.0000 6.4552
Ge Os I
4 8 4
Direct
0.0000 0.0000 0.0000 Ge
0.0000 0.5000 0.5000 Ge
0.5000 0.0000 0.5000 Ge
0.5000 0.5000 0.0000 Ge
0.2500 0.2500 0.2500 Os
0.2500 0.2500 0.7500 Os
0.2500 0.7500 0.2500 Os
0.2500 0.7500 0.7500 Os
0.7500 0.2500 0.2500 Os
0.7500 0.2500 0.7500 Os
0.7500 0.7500 0.2500 Os
0.7500 0.7500 0.7500 Os
0.0000 0.0000 0.5000 I
0.0000 0.5000 0.0000 I
0.5000 0.0000 0.0000 I
0.5000 0.5000 0.5000 I
```

Output
- VASP energy (eV/f.u.) = -23.9
- raw formation energy (eV per atom) = 1.18



# 2
First-principles (PBE) data for a relaxed Ge2OsI crystal, as listed in Alexandria.

POSCAR file:
```
Ge2OsI
1.0
6.8204 0.0000 0.0000
0.0000 6.8204 0.0000
0.0000 0.0000 6.8204
Ge Os I
8 4 4
Direct
0.2500 0.2500 0.2500 Ge
0.2500 0.2500 0.7500 Ge
0.2500 0.7500 0.2500 Ge
0.2500 0.7500 0.7500 Ge
0.7500 0.2500 0.2500 Ge
0.7500 0.2500 0.7500 Ge
0.7500 0.7500 0.2500 Ge
0.7500 0.7500 0.7500 Ge
0.0000 0.0000 0.0000 Os
0.0000 0.5000 0.5000 Os
0.5000 0.0000 0.5000 Os
0.5000 0.5000 0.0000 Os
0.0000 0.0000 0.5000 I
0.0000 0.5000 0.0000 I
0.5000 0.0000 0.0000 I
0.5000 0.5000 0.5000 I
```

Output
- VASP energy (eV/f.u.) = -17.3
- raw formation energy (eV per atom) = 1.19